The following is a GGA-PBE calculation of AgSbAs after structural relaxation, from Alexandria.

Cell: 3.131 3.131 7.897 Å, 90.00 90.00 120.00°
Positions (direct):
Ag1 0.000 0.000 0.000
Sb1 0.667 0.333 0.683
As1 0.333 0.667 0.277

Computed properties:
density: 7545 kg/m3
E_form (uncorrected): 0.2957 eV per atom
magnetic moment: 0.00 μB per formula unit
ΔE to the lowest computed polymorph: 0.1813 eV per atom
space group: P3m1

***

The following is a GGA-PBE calculation of Ag2SbAs after structural relaxation, from Alexandria.

Cell: 8.685 3.460 5.800 Å, 90.00 103.41 90.00°
Positions (direct):
Ag1 0.244 0.000 0.223
Ag2 0.256 0.500 0.777
Ag3 0.744 0.500 0.223
Ag4 0.756 0.000 0.777
Sb1 0.000 0.000 0.500
Sb2 0.500 0.500 0.500
As1 0.000 0.500 0.000
As2 0.500 0.000 0.000

Computed properties:
density: 8080 kg/m3
E_form (uncorrected): 0.1727 eV per atom
magnetic moment: 0.00 μB per formula unit
ΔE to the lowest computed polymorph: 0.0425 eV per atom
space group: C2/m

***

The following is a GGA-PBE calculation of AgSb2As after structural relaxation, from Alexandria.

Cell: 7.091 4.077 7.198 Å, 90.00 109.28 90.00°
Positions (direct):
Ag1 0.000 0.000 0.000
Ag2 0.500 0.500 0.000
Sb1 0.253 0.000 0.757
Sb2 0.488 0.000 0.465
Sb3 0.753 0.500 0.757
Sb4 0.988 0.500 0.465
As1 0.239 0.500 0.221
As2 0.739 0.000 0.221

Computed properties:
density: 7209 kg/m3
E_form (uncorrected): 0.1200 eV per atom
magnetic moment: 0.00 μB per formula unit
ΔE to the lowest computed polymorph: 0.0205 eV per atom
space group: Cm

***

The following is a GGA-PBE calculation of AgSbAs2 after structural relaxation, from Alexandria.

Cell: 3.521 3.521 7.128 Å, 90.00 90.00 90.00°
Positions (direct):
Ag1 0.000 0.000 0.000
Sb1 0.500 0.500 0.770
As1 0.000 0.000 0.410
As2 0.500 0.500 0.262

Computed properties:
density: 7131 kg/m3
E_form (uncorrected): 0.2510 eV per atom
magnetic moment: 0.00 μB per formula unit
ΔE to the lowest computed polymorph: 0.1272 eV per atom
space group: P4mm

***

The following is a GGA-PBE calculation of Ag2SbAs after structural relaxation, from Alexandria.

Cell: 3.058 3.058 9.058 Å, 90.00 90.00 90.00°
Positions (direct):
Ag1 0.000 0.000 0.000
Ag2 0.500 0.500 0.223
Sb1 0.500 0.500 0.753
As1 0.000 0.000 0.429

Computed properties:
density: 8086 kg/m3
E_form (uncorrected): 0.1808 eV per atom
magnetic moment: 0.00 μB per formula unit
ΔE to the lowest computed polymorph: 0.0506 eV per atom
space group: P4mm

***

The following is a GGA-PBE calculation of Ag2SbAs2 after structural relaxation, from Alexandria.

Cell: 8.289 8.289 3.067 Å, 90.00 90.00 90.00°
Positions (direct):
Ag1 0.121 0.379 0.000
Ag2 0.379 0.879 0.000
Ag3 0.621 0.121 0.000
Ag4 0.879 0.621 0.000
Sb1 0.000 0.000 0.500
Sb2 0.500 0.500 0.500
As1 0.180 0.680 0.500
As2 0.320 0.180 0.500
As3 0.680 0.820 0.500
As4 0.820 0.320 0.500

Computed properties:
density: 7679 kg/m3
E_form (uncorrected): 0.1973 eV per atom
magnetic moment: 0.00 μB per formula unit
ΔE to the lowest computed polymorph: 0.0000 eV per atom
space group: P4/mbm

***

The following is a GGA-PBE calculation of AgSb2As after structural relaxation, from Alexandria.

Cell: 3.722 4.815 5.208 Å, 90.00 90.00 90.00°
Positions (direct):
Ag1 0.000 0.000 0.000
Sb1 0.000 0.500 0.500
Sb2 0.500 0.500 0.000
As1 0.500 0.000 0.500

Computed properties:
density: 7584 kg/m3
E_form (uncorrected): 0.3237 eV per atom
magnetic moment: 0.00 μB per formula unit
ΔE to the lowest computed polymorph: 0.2242 eV per atom
space group: Pmmm

***

The following is a GGA-PBE calculation of AgSb3As after structural relaxation, from Alexandria.

Cell: 5.382 5.382 5.382 Å, 90.00 90.00 90.00°
Positions (direct):
Ag1 0.000 0.000 0.000
Sb1 0.000 0.500 0.500
Sb2 0.500 0.000 0.500
Sb3 0.500 0.500 0.000
As1 0.500 0.500 0.500

Computed properties:
density: 5838 kg/m3
E_form (uncorrected): 0.7676 eV per atom
magnetic moment: 0.00 μB per formula unit
ΔE to the lowest computed polymorph: 0.0000 eV per atom
space group: Pm-3m

***

The following is a GGA-PBE calculation of AgSb2As after structural relaxation, from Alexandria.

Cell: 3.615 5.299 9.671 Å, 90.00 90.00 90.00°
Positions (direct):
Ag1 0.000 0.000 0.000
Ag2 0.500 0.500 0.000
Sb1 0.000 0.500 0.250
Sb2 0.000 0.500 0.750
Sb3 0.500 0.000 0.250
Sb4 0.500 0.000 0.750
As1 0.000 0.000 0.500
As2 0.500 0.500 0.500

Computed properties:
density: 7642 kg/m3
E_form (uncorrected): 0.3068 eV per atom
magnetic moment: 0.00 μB per formula unit
ΔE to the lowest computed polymorph: 0.2073 eV per atom
space group: Cmmm

***

The following is a GGA-PBE calculation of AgSb2As after structural relaxation, from Alexandria.

Cell: 3.961 4.152 11.881 Å, 90.00 90.00 90.00°
Positions (direct):
Ag1 0.000 0.000 0.000
Ag2 0.500 0.500 0.500
Sb1 0.000 0.500 0.186
Sb2 0.000 0.500 0.814
Sb3 0.500 0.000 0.314
Sb4 0.500 0.000 0.686
As1 0.000 0.000 0.500
As2 0.500 0.500 0.000

Computed properties:
density: 7246 kg/m3
E_form (uncorrected): 0.1938 eV per atom
magnetic moment: 0.00 μB per formula unit
ΔE to the lowest computed polymorph: 0.0943 eV per atom
space group: Immm

***

Which value of density does entry 7 give? 7584 kg/m3

***

Number 6 is which compound? Ag2SbAs2